[1]
Entry from Alexandria: a relaxed CaPb4F10 crystal (PBE-GGA).

Values from the calculation:
Formation energy without anion corrections ... -2.696 eV/atom
Spin magnetization ... 0.00 μB per formula unit
Crystal system ... tetragonal
DFT total energy ... -76.0 eV/cell

Lattice parameters (Å, degrees): 4.1547 4.1547 15.1813 97.86 97.86 90.00
Closest atoms and distances in Å follow each position.
Sites, in units of the cell vectors:
F (0.7500, 0.2500, 0.5000)  4 Pb 2.58
Pb (0.5960, 0.5960, 0.1920)  8 F 2.58
F (0.2500, 0.7500, 0.5000)  4 Pb 2.58
F (0.1472, 0.6472, 0.2945)  4 Pb 2.58
F (0.6472, 0.1472, 0.2945)  4 Pb 2.58
F (0.9552, 0.4552, 0.9104)  2 Ca 2.47, 2 Pb 2.58, 1 F 2.67
Pb (0.8013, 0.8013, 0.6026)  8 F 2.58
F (0.0448, 0.5448, 0.0896)  2 Ca 2.47, 2 Pb 2.58, 1 F 2.67
F (0.3528, 0.8528, 0.7055)  4 Pb 2.58
F (0.4552, 0.9552, 0.9104)  2 Ca 2.47, 2 Pb 2.58, 1 F 2.67
Ca (0.0000, 0.0000, 0.0000)  8 F 2.47
Pb (0.4040, 0.4040, 0.8080)  8 F 2.58
Pb (0.1987, 0.1987, 0.3974)  8 F 2.58
F (0.5448, 0.0448, 0.0896)  2 Ca 2.47, 2 Pb 2.58, 1 F 2.67
F (0.8528, 0.3528, 0.7055)  4 Pb 2.58

[2]
Entry from Alexandria: a relaxed BiAs2SeCl crystal (PBE-GGA).

Values from the calculation:
Formation energy without anion corrections ... 0.912 eV/atom
Spin magnetization ... 2.14 μB per formula unit
Crystal system ... tetragonal
Energy relative to the lowest polymorph listed for this composition ... 0.148 eV per atom
DFT total energy ... -14.0 eV/cell

Lattice parameters (Å, degrees): 5.6529 5.6529 5.4314 90.00 90.00 90.00
Closest atoms and distances in Å follow each position.
Sites, in units of the cell vectors:
Bi (0.0000, 0.0000, 0.0000)  2 Se 2.72, 4 As 2.83
Se (0.0000, 0.0000, 0.5000)  2 Bi 2.72
As (0.0000, 0.5000, 0.0000)  2 Bi 2.83
Cl (0.5000, 0.5000, 0.5000)  8 As 3.92, 4 Se 4.00
As (0.5000, 0.0000, 0.0000)  2 Bi 2.83

[3]
Entry from Alexandria: a relaxed Zn8GaN6 crystal (PBE-GGA).

Values from the calculation:
Formation energy without anion corrections ... 0.144 eV/atom
Spin magnetization ... 0.00 μB per formula unit
Crystal system ... hexagonal
DFT total energy ... -122.0 eV/cell

Lattice parameters (Å, degrees): 5.9561 5.9561 11.8941 90.00 90.00 120.00
Closest atoms and distances in Å follow each position.
Sites, in units of the cell vectors:
N (0.0000, 0.6808, 0.9467)  1 Ga 1.96, 4 Zn 2.04-2.09
N (0.0000, 0.3192, 0.4467)  1 Ga 1.96, 4 Zn 2.04-2.09
Zn (0.0000, 0.3797, 0.6194)  3 N 2.09-2.13
Zn (0.6667, 0.3333, 0.4307)  3 N 2.04
Zn (0.6985, 0.6985, 0.2724)  4 N 2.08-2.23
N (0.6667, 0.3333, 0.7055)  6 Zn 2.13-2.23
Zn (0.3797, 0.3797, 0.1194)  3 N 2.09-2.13
N (0.6808, 0.6808, 0.4467)  1 Ga 1.96, 4 Zn 2.04-2.09
Zn (0.3797, 0.0000, 0.6194)  3 N 2.09-2.13
Zn (0.0000, 0.6203, 0.1194)  3 N 2.09-2.13
N (0.0000, 0.0000, 0.6722)  6 Zn 2.15-2.35, 1 Ga 2.22
Zn (0.3015, 0.0000, 0.2724)  4 N 2.08-2.23
Ga (0.0000, 0.0000, 0.9856)  3 N 1.96
N (0.3333, 0.6667, 0.7055)  6 Zn 2.13-2.23
Zn (0.0000, 0.6985, 0.7724)  4 N 2.08-2.23
Zn (0.0000, 0.3015, 0.2724)  4 N 2.08-2.23
N (0.0000, 0.0000, 0.1722)  6 Zn 2.15-2.35, 1 Ga 2.22
N (0.6808, 0.0000, 0.9467)  1 Ga 1.96, 4 Zn 2.04-2.09
N (0.3333, 0.6667, 0.2055)  6 Zn 2.13-2.23
Zn (0.6667, 0.3333, 0.9307)  3 N 2.04
N (0.6667, 0.3333, 0.2055)  6 Zn 2.13-2.23
Ga (0.0000, 0.0000, 0.4856)  3 N 1.96
Zn (0.6985, 0.0000, 0.7724)  4 N 2.08-2.23
Zn (0.6203, 0.6203, 0.6194)  3 N 2.09-2.13
Zn (0.3333, 0.6667, 0.9307)  3 N 2.04
Zn (0.3333, 0.6667, 0.4307)  3 N 2.04
N (0.3192, 0.3192, 0.9467)  1 Ga 1.96, 4 Zn 2.04-2.09
N (0.3192, 0.0000, 0.4467)  1 Ga 1.96, 4 Zn 2.04-2.09
Zn (0.3015, 0.3015, 0.7724)  4 N 2.08-2.23
Zn (0.6203, 0.0000, 0.1194)  3 N 2.09-2.13

[4]
Entry from Alexandria: a relaxed Co2Ir6Rh crystal (PBE-GGA).

Values from the calculation:
ΔH_f (0 K) ... 508 kJ/mol of formula units
Spin magnetization ... 1.54 μB per formula unit
Crystal system ... trigonal
Energy relative to the lowest polymorph listed for this composition ... 0.414 eV per atom
DFT total energy ... -69.5 eV/cell

Lattice parameters (Å, degrees): 4.9949 4.9949 7.2587 69.88 69.88 60.00
Closest atoms and distances in Å follow each position.
Sites, in units of the cell vectors:
Ir (0.1817, 0.7786, 0.6653)  1 Co 2.32
Ir (0.1539, 0.5598, 0.3371)  1 Co 2.33
Ir (0.3744, 0.1817, 0.6653)  1 Co 2.32
Ir (0.5598, 0.9493, 0.3371)  1 Co 2.33
Co (0.6150, 0.6150, 0.1549)  1 Co 2.12, 3 Ir 2.33
Co (0.7212, 0.7212, 0.8365)  1 Co 2.12, 3 Ir 2.32
Ir (0.7786, 0.3744, 0.6653)  1 Co 2.32
Rh (0.3318, 0.3318, 0.0046)  6 Ir 2.70-2.72
Ir (0.9493, 0.1539, 0.3371)  1 Co 2.33

[5]
Entry from Alexandria: a relaxed PmTh3 crystal (PBE-GGA).

Values from the calculation:
ΔH_f (0 K) ... 34 kJ/mol of formula units
Spin magnetization ... 0.00 μB per formula unit
Crystal system ... trigonal
Energy relative to the lowest polymorph listed for this composition ... 0.027 eV per atom
DFT total energy ... -80.0 eV/cell

Lattice parameters (Å, degrees): 7.1882 7.1882 9.7512 68.37 68.37 60.00
Closest atoms and distances in Å follow each position.
Sites, in units of the cell vectors:
Th (0.5000, 0.5000, 0.0000)  4 Pm 3.59, 8 Th 3.59-3.60
Th (0.2779, 0.7776, 0.6665)  8 Th 3.59-3.60, 4 Pm 3.59-3.61
Th (0.2224, 0.7221, 0.3335)  8 Th 3.59-3.60, 4 Pm 3.59-3.61
Th (0.7221, 0.7221, 0.3335)  8 Th 3.59-3.60, 4 Pm 3.59-3.61
Th (0.5000, 0.0000, 0.0000)  4 Pm 3.59, 8 Th 3.59-3.60
Th (0.7221, 0.2224, 0.3335)  8 Th 3.59-3.60, 4 Pm 3.59-3.61
Pm (0.7771, 0.7771, 0.6686)  12 Th 3.59-3.61
Th (0.2779, 0.2779, 0.6665)  8 Th 3.59-3.60, 4 Pm 3.59-3.61
Pm (0.0000, 0.0000, 0.0000)  12 Th 3.59-3.60
Th (0.0000, 0.5000, 0.0000)  4 Pm 3.59, 8 Th 3.59-3.60
Th (0.7776, 0.2779, 0.6665)  8 Th 3.59-3.60, 4 Pm 3.59-3.61
Pm (0.2229, 0.2229, 0.3314)  12 Th 3.59-3.61

[6]
Entry from Alexandria: a relaxed Ni8Sn2Ge crystal (PBE-GGA).

Values from the calculation:
ΔH_f (0 K) ... -153 kJ/mol of formula units
Spin magnetization ... 0.00 μB per formula unit
Crystal system ... orthorhombic
DFT total energy ... -60.5 eV/cell

Lattice parameters (Å, degrees): 4.2410 5.4341 7.2201 112.09 107.08 90.00
Closest atoms and distances in Å follow each position.
Sites, in units of the cell vectors:
Ni (0.6446, 0.8919, 0.2891)  1 Ge 2.29, 2 Sn 2.55, 2 Ni 2.56
Ni (0.3554, 0.1081, 0.7109)  1 Ge 2.29, 2 Sn 2.55, 2 Ni 2.56
Ni (0.3555, 0.6029, 0.7109)  1 Ge 2.29, 2 Sn 2.55, 2 Ni 2.56
Ni (0.8241, 0.8240, 0.6482)  8 Ni 2.56-2.65, 4 Sn 2.72-2.82
Ni (0.0000, 0.2407, 0.0001)  2 Ge 2.49, 3 Ni 2.59-2.62, 2 Sn 2.66
Ge (0.5000, 0.0000, 0.0000)  8 Ni 2.29-2.49
Sn (0.8219, 0.3219, 0.6438)  12 Ni 2.55-2.82
Ni (0.1759, 0.1760, 0.3518)  8 Ni 2.56-2.65, 4 Sn 2.72-2.82
Ni (0.6445, 0.3971, 0.2891)  1 Ge 2.29, 2 Sn 2.55, 2 Ni 2.56
Ni (0.0000, 0.7593, 0.9999)  2 Ge 2.49, 3 Ni 2.59-2.62, 2 Sn 2.66
Sn (0.1781, 0.6781, 0.3562)  12 Ni 2.55-2.82

[7]
Entry from Alexandria: a relaxed AcTc4Ge2 crystal (PBE-GGA).

Values from the calculation:
ΔH_f (0 K) ... -246 kJ/mol of formula units
Spin magnetization ... 0.00 μB per formula unit
Crystal system ... orthorhombic
DFT total energy ... -57.4 eV/cell

Lattice parameters (Å, degrees): 4.2238 4.2463 7.6357 106.14 90.00 90.00
Closest atoms and distances in Å follow each position.
Sites, in units of the cell vectors:
Ac (0.0000, 0.0000, 0.0000)  8 Ge 3.30, 8 Tc 3.60-3.63
Tc (0.0000, 0.2989, 0.5978)  4 Tc 2.56-2.57, 2 Ge 2.63
Tc (0.5000, 0.1991, 0.3981)  4 Tc 2.57-2.60, 2 Ge 2.62
Ge (0.5000, 0.5945, 0.1891)  4 Tc 2.62-2.63, 1 Ge 2.77
Tc (0.5000, 0.8009, 0.6019)  4 Tc 2.57-2.60, 2 Ge 2.62
Ge (0.5000, 0.4055, 0.8109)  4 Tc 2.62-2.63, 1 Ge 2.77
Tc (0.0000, 0.7011, 0.4022)  4 Tc 2.56-2.57, 2 Ge 2.63

[8]
Entry from Alexandria: a relaxed TcTe2As crystal (PBE-GGA).

Values from the calculation:
Formation energy without anion corrections ... 0.077 eV/atom
Spin magnetization ... 0.00 μB per formula unit
Crystal system ... trigonal
DFT total energy ... -21.0 eV/cell

Lattice parameters (Å, degrees): 9.6515 9.6515 9.6515 19.98 19.98 19.98
Closest atoms and distances in Å follow each position.
Sites, in units of the cell vectors:
Tc (0.7571, 0.7571, 0.7571)  3 As 2.57, 3 Te 2.71
Te (0.0236, 0.0236, 0.0236)  3 Tc 2.71
Te (0.2358, 0.2358, 0.2358)  3 As 3.10, 6 Te 3.35
As (0.4835, 0.4835, 0.4835)  3 Tc 2.57

> Number 6 is which compound?

Ni8Sn2Ge

> Among the records above, which one has the lowest DFT total energy?

Zn8GaN6

> Which of these has the highest spin magnetization?

BiAs2SeCl